Compound: Y2Zn2Ru
Source: Alexandria via LeMat-Bulk
Functional: PBE
Structure: optimized geometry

```
Y2Zn2Ru
1.0
-1.746 1.746 8.910
1.746 -1.746 8.910
1.746 1.746 -8.910
Y Zn Ru
2 2 1
Cartesian
0.000 0.000 1.646
0.000 0.000 16.175
1.746 0.000 4.455
0.000 1.746 4.455
0.000 0.000 8.910
```

Final energy = -5.119 eV/atom
Space group = I4/mmm, No. 139
Formation energy from the elements = -0.1689 eV/atom
DOS at the Fermi energy = 2.366 states/eV/f.u.